Zn2Ga2Mo (PBE, optimized geometry); symmetry = P4/mbm, No. 127; magnetization = 0.0000 μB/atom; raw total energy = -3.668 eV per atom; E above lowest polymorph = 0 meV per atom; theoretical density = 7.77 g/cm3
1.0
7.1056 0.0000 0.0000
0.0000 7.1056 0.0000
0.0000 0.0000 3.0988
Zn Ga Mo
4 4 2
Cartesian
1.0960 2.4568 0.0000 Zn
2.4568 6.0096 0.0000 Zn
4.6489 1.0960 0.0000 Zn
6.0096 4.6489 0.0000 Zn
1.0398 4.5926 1.5494 Ga
2.5130 1.0398 1.5494 Ga
4.5926 6.0658 1.5494 Ga
6.0658 2.5130 1.5494 Ga
0.0000 0.0000 1.5494 Mo
3.5528 3.5528 1.5494 Mo

MgZrMn2Pb (PBE, optimized geometry); symmetry = P4/mmm, No. 123; magnetization = 1.4667 μB/atom; raw total energy = -5.450 eV per atom; theoretical density = 6.20 g/cm3
1.0
4.7217 0.0000 0.0000
0.0000 4.7217 0.0000
0.0000 0.0000 5.1985
Mg Zr Mn Pb
1 1 2 1
Cartesian
0.0000 0.0000 0.0000 Mg
0.0000 0.0000 2.5992 Zr
0.0000 2.3609 0.0000 Mn
2.3609 0.0000 0.0000 Mn
2.3609 2.3609 2.5992 Pb

YNbF2 (PBE, optimized geometry); symmetry = I-42d, No. 122; magnetization = 0.5000 μB/atom; raw total energy = -6.533 eV per atom; formation energy (no corrections) = -1.463 eV per atom; E above lowest polymorph = 264 meV per atom; theoretical density = 4.90 g/cm3
1.0
-2.6264 2.6264 5.4036
2.6264 -2.6264 5.4036
2.6264 2.6264 -5.4036
Y Nb F
2 2 4
Cartesian
0.0000 0.0000 0.0000 Y
0.0000 2.6264 2.7018 Y
2.6264 0.0000 2.7018 Nb
0.0000 0.0000 5.4036 Nb
3.9396 1.2142 -1.3509 F
1.2142 1.3132 1.3509 F
-1.3132 1.4123 4.0527 F
1.4123 1.3132 6.7546 F

Tm3Hg2Rh (PBE, optimized geometry); symmetry = Cmcm, No. 63; magnetization = 0.0000 μB/atom; raw total energy = -3.895 eV per atom; E above lowest polymorph = 304 meV per atom; theoretical density = 10.41 g/cm3
1.0
1.9423 -9.5416 0.0000
1.9423 9.5416 0.0000
0.0000 0.0000 8.7017
Tm Hg Rh
6 4 2
Cartesian
1.9423 7.7012 4.7441 Tm
1.9423 7.7012 8.3085 Tm
1.9423 3.7672 6.5263 Tm
1.9423 -3.7672 2.1754 Tm
1.9423 -7.7012 0.3932 Tm
1.9423 -7.7012 3.9577 Tm
1.9423 3.4168 2.1754 Hg
1.9423 0.1193 2.1754 Hg
1.9423 -0.1193 6.5263 Hg
1.9423 -3.4168 6.5263 Hg
1.9423 7.7168 2.1754 Rh
1.9423 -7.7168 6.5263 Rh

NaMgNb (PBE, optimized geometry); symmetry = P6_3/mmc, No. 194; magnetization = 0.0071 μB/atom; raw total energy = -3.359 eV per atom; E above lowest polymorph = 792 meV per atom; theoretical density = 3.58 g/cm3
1.0
5.0885 0.0000 0.0000
-2.5443 4.4068 0.0000
0.0000 0.0000 5.8026
Na Mg Nb
2 2 2
Cartesian
0.0000 0.0000 0.0000 Na
0.0000 0.0000 2.9013 Na
0.0000 2.9378 1.4506 Mg
2.5443 1.4689 4.3519 Mg
0.0000 2.9378 4.3519 Nb
2.5443 1.4689 1.4506 Nb

NaTlNO (PBE, optimized geometry); symmetry = P4/mmm, No. 123; magnetization = 0.2667 μB/atom; raw total energy = -4.086 eV per atom; formation energy (no corrections) = 0.157 eV per atom; E above lowest polymorph = 278 meV per atom; theoretical density = 7.56 g/cm3
1.0
3.4565 0.0000 0.0000
0.0000 3.4565 0.0000
0.0000 0.0000 4.7340
Na Tl N O
1 1 1 1
Cartesian
0.0000 0.0000 0.0000 Na
1.7283 1.7283 2.3670 Tl
0.0000 0.0000 2.3670 N
1.7283 1.7283 0.0000 O

V3CdB (PBE, optimized geometry); symmetry = Pm-3m, No. 221; magnetization = 1.0673 μB/atom; raw total energy = -4.349 eV per atom; E above lowest polymorph = 2576 meV per atom; theoretical density = 4.16 g/cm3
1.0
4.7960 0.0000 0.0000
0.0000 4.7960 0.0000
0.0000 0.0000 4.7960
V Cd B
3 1 1
Cartesian
0.0000 0.0000 2.3980 V
0.0000 2.3980 0.0000 V
2.3980 0.0000 0.0000 V
0.0000 0.0000 0.0000 Cd
2.3980 2.3980 2.3980 B

NdSmCoAu (PBE, optimized geometry); symmetry = F-43m, No. 216; magnetization = 0.1322 μB/atom; raw total energy = -5.293 eV per atom; theoretical density = 9.89 g/cm3
1.0
0.0000 3.5883 3.5883
3.5883 0.0000 3.5883
3.5883 3.5883 0.0000
Nd Sm Co Au
1 1 1 1
Cartesian
0.0000 0.0000 0.0000 Nd
3.5883 3.5883 3.5883 Sm
5.3824 5.3824 5.3824 Co
1.7941 1.7941 1.7941 Au

LuP3O9 (PBE, optimized geometry); symmetry = R-3, No. 148; magnetization = 0.0000 μB/atom; raw total energy = -7.582 eV per atom; formation energy (no corrections) = -2.553 eV per atom; E above lowest polymorph = 5 meV per atom; theoretical density = 3.45 g/cm3
1.0
10.5818 6.1094 4.0848
-10.5818 6.1094 4.0848
0.0000 -12.2188 4.0848
Lu P O
8 24 72
Cartesian
0.0000 0.0000 0.0000 Lu
-7.5133 -1.9999 5.2816 Lu
-2.0247 -7.5067 6.9729 Lu
-5.4886 5.5068 6.9729 Lu
0.0000 0.0000 6.1273 Lu
5.4886 -5.5068 5.2816 Lu
2.0247 7.5067 5.2816 Lu
7.5133 1.9999 6.9729 Lu
-2.9611 -0.5105 2.0877 P
-7.3999 1.5604 4.5826 P
1.9226 -2.3092 2.0877 P
-4.3696 -3.1152 6.1337 P
-5.0513 -5.6283 7.6719 P
-0.0206 -3.0184 4.3188 P
-2.6037 1.5271 4.3188 P
2.3486 -7.1887 4.5826 P
1.0385 2.8196 2.0877 P
-4.8826 2.2266 6.1208 P
0.5130 -5.3418 6.1208 P
-2.6243 -1.4914 7.9357 P
2.6243 1.4914 4.3188 P
-0.5130 5.3418 6.1337 P
4.8826 -2.2266 6.1337 P
-1.0385 -2.8197 10.1668 P
-2.3486 7.1887 7.6719 P
2.6037 -1.5271 7.9357 P
0.0206 3.0184 7.9357 P
5.0513 5.6283 4.5826 P
4.3696 3.1152 6.1208 P
-1.9226 2.3092 10.1668 P
7.3999 -1.5604 7.6719 P
2.9611 0.5105 10.1668 P
-7.5166 -4.1334 5.7971 O
-1.7973 -0.0110 1.2846 O
-2.8711 -7.9976 5.0130 O
-7.4504 0.1261 4.9993 O
-6.2476 -6.1257 6.7311 O
0.9082 -1.5510 1.2846 O
-3.9295 -3.8976 4.9331 O
-8.4288 2.3478 5.5235 O
-1.0038 -3.8501 3.5568 O
-3.0712 0.2390 3.4925 O
-8.3617 -1.5124 7.2415 O
-5.4290 -2.0636 5.9768 O
-5.9574 2.1768 4.9122 O
0.8891 1.5620 1.2846 O
-2.8324 2.7944 3.5568 O
-3.8344 -6.3892 7.2552 O
-4.8639 -4.0709 7.3424 O
1.3286 -2.7793 3.4925 O
1.0935 -6.2477 4.9122 O
-0.1787 -8.5763 6.4574 O
-7.3380 4.4429 6.4574 O
-0.9274 -5.7334 6.2777 O
-3.6463 1.3959 5.5311 O
2.1812 -8.4734 5.5235 O
-0.4875 -1.7038 4.8630 O
-5.4906 6.4852 5.0130 O
-3.0321 -2.4598 6.7234 O
-1.2318 1.2741 4.8630 O
0.6142 -3.8558 5.5311 O
-5.3402 1.4543 7.3214 O
-4.5016 3.6698 6.2777 O
3.6160 -6.5153 4.9993 O
1.7426 2.5403 3.4925 O
-1.4107 5.3519 4.9331 O
1.7193 0.4298 4.8630 O
3.8362 1.0557 3.5568 O
-3.8362 -1.0557 8.6977 O
-1.7193 -0.4298 7.3915 O
1.4107 -5.3519 7.3214 O
-1.7426 -2.5403 8.7620 O
-3.6160 6.5153 7.2552 O
4.5016 -3.6699 5.9768 O
5.3402 -1.4543 4.9331 O
-0.6142 3.8557 6.7234 O
1.2318 -1.2741 7.3915 O
3.0321 2.4598 5.5311 O
5.4906 -6.4852 7.2415 O
0.4875 1.7038 7.3915 O
-2.1812 8.4734 6.7311 O
3.6463 -1.3959 6.7234 O
0.9274 5.7334 5.9768 O
7.3379 -4.4429 5.7971 O
0.1787 8.5763 5.7971 O
-1.0935 6.2477 7.3424 O
-1.3286 2.7793 8.7620 O
4.8639 4.0709 4.9122 O
3.8344 6.3892 4.9993 O
2.8324 -2.7944 8.6977 O
-0.8891 -1.5621 10.9700 O
5.9574 -2.1768 7.3424 O
5.4290 2.0636 6.2777 O
8.3617 1.5124 5.0130 O
3.0712 -0.2390 8.7620 O
1.0038 3.8501 8.6977 O
8.4288 -2.3478 6.7311 O
3.9295 3.8976 7.3215 O
-0.9082 1.5510 10.9700 O
6.2476 6.1257 5.5235 O
7.4504 -0.1261 7.2552 O
2.8711 7.9976 7.2415 O
1.7973 0.0110 10.9700 O
7.5166 4.1334 6.4574 O

ZnTeMo2 (PBE, optimized geometry); symmetry = I-42d, No. 122; magnetization = 0.0000 μB/atom; raw total energy = -5.991 eV per atom; formation energy (no corrections) = 0.529 eV per atom; E above lowest polymorph = 325 meV per atom; theoretical density = 8.44 g/cm3
1.0
-1.9883 1.9883 9.5731
1.9883 -1.9883 9.5731
1.9883 1.9883 -9.5731
Zn Te Mo
2 2 4
Cartesian
0.0000 0.0000 0.0000 Zn
0.0000 1.9883 4.7866 Zn
1.9883 0.0000 4.7866 Te
0.0000 0.0000 9.5731 Te
2.9825 0.7864 -2.3933 Mo
0.7864 0.9942 2.3933 Mo
-0.9942 1.2019 7.1799 Mo
1.2019 0.9942 11.9664 Mo

CeCoTcGe2 (PBE, optimized geometry); symmetry = I-4m2, No. 119; magnetization = 0.1432 μB/atom; raw total energy = -7.018 eV per atom; theoretical density = 8.30 g/cm3
1.0
-2.0966 2.0966 5.0349
2.0966 -2.0966 5.0349
2.0966 2.0966 -5.0349
Ce Co Tc Ge
1 1 1 2
Cartesian
0.0000 0.0000 0.0000 Ce
2.0966 0.0000 2.5175 Co
0.0000 2.0966 2.5175 Tc
0.0000 0.0000 3.7244 Ge
0.0000 0.0000 6.3455 Ge

AcPuTePb (PBE, optimized geometry); symmetry = F-43m, No. 216; magnetization = 1.3872 μB/atom; raw total energy = -6.903 eV per atom; formation energy (no corrections) = -0.580 eV per atom; theoretical density = 10.44 g/cm3
1.0
0.0000 4.0013 4.0013
4.0013 0.0000 4.0013
4.0013 4.0013 0.0000
Ac Pu Te Pb
1 1 1 1
Cartesian
0.0000 0.0000 0.0000 Ac
4.0013 4.0013 4.0013 Pu
2.0006 2.0006 2.0006 Te
6.0019 6.0019 6.0019 Pb

Question: theoretical density of number 2 (MgZrMn2Pb)?
Answer: 6.20 g/cm3